[1]
Compound: NiIrPt2
Source: the Alexandria database
Functional: PBE-GGA
Structure: relaxed

a b c (Å): 2.704 4.699 9.245
angles (deg): 90.00 90.00 90.00
Space group Cmm2 (No. 35)
Inequivalent atoms, fractional coordinates:
1 Ni 0.000 0.000 0.000 [2 per cell]
2 Ir 0.000 0.500 0.228 [2 per cell]
3 Pt 0.000 0.000 0.490 [2 per cell]
4 Pt 0.000 0.500 0.761 [2 per cell]

Summary:
calculated formation energy = 0.1187 eV per atom
energy above the lowest structure with this stoichiometry = 0.571 eV per formula unit

[2]
Compound: KCeSmI6
Source: the Alexandria database
Functional: PBE-GGA
Structure: relaxed

a b c (Å): 7.9367 7.9367 16.3588
angles (deg): 90.00 90.00 120.00
Space group P-31c (No. 163)
Inequivalent atoms, fractional coordinates:
1 K 0.0000 0.0000 0.0000 [2 per cell]
2 Ce 0.3333 0.6667 0.2500 [2 per cell]
3 Sm 0.3333 0.6667 0.7500 [2 per cell]
4 I 0.0081 0.3588 0.6358 [12 per cell]

Summary:
formation energy without anion corrections = -12.10 eV/f.u.

[3]
Compound: CoSiAg2
Source: the Alexandria database
Functional: PBE-GGA
Structure: relaxed

a b c (Å): 2.8094 2.8094 27.2021
angles (deg): 90.00 90.00 120.00
Space group R-3m (No. 166, hexagonal axes)
Inequivalent atoms, fractional coordinates:
1 Co 0.0000 0.0000 0.0000 [3 per cell]
2 Si 0.0000 0.0000 0.5000 [3 per cell]
3 Ag 0.0000 0.0000 0.2513 [6 per cell]

Summary:
formation energy without anion corrections = 1.55 eV/f.u.

[4]
Compound: La2CdPb
Source: the Alexandria database
Functional: PBE-GGA
Structure: relaxed

a b c (Å): 7.893 7.893 7.893
angles (deg): 90.00 90.00 90.00
Space group F-43m (No. 216)
Inequivalent atoms, fractional coordinates:
1 La 0.000 0.000 0.000 [4 per cell]
2 La 0.250 0.250 0.250 [4 per cell]
3 Cd 0.250 0.250 0.750 [4 per cell]
4 Pb 0.000 0.000 0.500 [4 per cell]

Summary:
calculated formation energy = -0.0399 eV per atom

[5]
Compound: Tl2Cu2Bi
Source: the Alexandria database
Functional: PBE-GGA
Structure: relaxed

a b c (Å): 3.450 3.450 20.390
angles (deg): 90.00 90.00 90.00
Space group I4/mmm (No. 139)
Inequivalent atoms, fractional coordinates:
1 Tl 0.000 0.000 0.130 [4 per cell]
2 Cu 0.000 0.500 0.250 [4 per cell]
3 Bi 0.000 0.000 0.500 [2 per cell]

Summary:
calculated formation energy = 0.2081 eV per atom
energy above the lowest structure with this stoichiometry = 0.000 eV per formula unit

[6]
Compound: NpPa2C
Source: the Alexandria database
Functional: PBE-GGA
Structure: relaxed

a b c (Å): 3.2729 3.2729 26.0733
angles (deg): 90.00 90.00 120.00
Space group R-3m (No. 166, hexagonal axes)
Inequivalent atoms, fractional coordinates:
1 Np 0.0000 0.0000 0.0000 [3 per cell]
2 Pa 0.0000 0.0000 0.1088 [6 per cell]
3 C 0.0000 0.0000 0.5000 [3 per cell]

Summary:
calculated formation energy = 0.1499 eV per atom
energy above the lowest structure with this stoichiometry = 0.000 eV per formula unit

[7]
Compound: Ti2Cu2Te
Source: the Alexandria database
Functional: PBE-GGA
Structure: relaxed

a b c (Å): 6.941 6.941 3.676
angles (deg): 90.00 90.00 90.00
Space group P4/mbm (No. 127)
Inequivalent atoms, fractional coordinates:
1 Ti 0.151 0.349 0.000 [4 per cell]
2 Cu 0.131 0.631 0.500 [4 per cell]
3 Te 0.000 0.000 0.000 [2 per cell]

Summary:
energy above the lowest structure with this stoichiometry = 0.357 eV per formula unit
formation energy without anion corrections = 0.18 eV/f.u.

[8]
Compound: InIrRhO6
Source: the Alexandria database
Functional: PBE-GGA
Structure: relaxed

a b c (Å): 5.1903 5.1903 9.2722
angles (deg): 90.00 90.00 120.00
Space group P-31c (No. 163)
Inequivalent atoms, fractional coordinates:
1 In 0.0000 0.0000 0.0000 [2 per cell]
2 Ir 0.3333 0.6667 0.2500 [2 per cell]
3 Rh 0.3333 0.6667 0.7500 [2 per cell]
4 O 0.0056 0.3592 0.1329 [12 per cell]

Summary:
formation energy without anion corrections = -7.83 eV/f.u.

[9]
Compound: Mn2CdIr
Source: the Alexandria database
Functional: PBE-GGA
Structure: relaxed

a b c (Å): 2.9000 2.9000 26.4723
angles (deg): 90.00 90.00 120.00
Space group R-3m (No. 166, hexagonal axes)
Inequivalent atoms, fractional coordinates:
1 Mn 0.0000 0.0000 0.2428 [6 per cell]
2 Cd 0.0000 0.0000 0.0000 [3 per cell]
3 Ir 0.0000 0.0000 0.5000 [3 per cell]

Summary:
calculated formation energy = 0.2096 eV per atom

[10]
Compound: DyHo5Th
Source: the Alexandria database
Functional: PBE-GGA
Structure: relaxed

a b c (Å): 6.105 17.467 8.594
angles (deg): 90.00 101.79 90.00
Space group C2/c (No. 15)
Inequivalent atoms, fractional coordinates:
1 Dy 0.000 0.013 0.250 [4 per cell]
2 Ho 0.000 0.352 0.250 [4 per cell]
3 Ho 0.116 0.156 0.962 [8 per cell]
4 Ho 0.201 0.313 0.646 [8 per cell]
5 Th 0.000 0.500 0.000 [4 per cell]

Summary:
calculated formation energy = 0.1972 eV per atom
energy above the lowest structure with this stoichiometry = 0.000 eV per formula unit

[11]
Compound: ZrSiAg2
Source: the Alexandria database
Functional: PBE-GGA
Structure: relaxed

a b c (Å): 3.224 3.224 7.087
angles (deg): 90.00 90.00 90.00
Space group P4/mmm (No. 123)
Inequivalent atoms, fractional coordinates:
1 Zr 0.000 0.000 0.000 [1 per cell]
2 Si 0.000 0.000 0.500 [1 per cell]
3 Ag 0.500 0.500 0.282 [2 per cell]

Summary:
formation energy without anion corrections = 0.63 eV/f.u.

[12]
Compound: MgReRh
Source: the Alexandria database
Functional: PBE-GGA
Structure: relaxed

a b c (Å): 2.815 4.377 7.603
angles (deg): 90.00 93.81 90.00
Space group Pm (No. 6)
Inequivalent atoms, fractional coordinates:
1 Mg 0.000 0.000 0.000 [1 per cell]
2 Mg 0.062 0.500 0.406 [1 per cell]
3 Re 0.169 0.000 0.637 [1 per cell]
4 Re 0.540 0.500 0.769 [1 per cell]
5 Rh 0.512 0.500 0.094 [1 per cell]
6 Rh 0.571 0.000 0.337 [1 per cell]

Summary:
calculated formation energy = -0.0459 eV per atom
energy above the lowest structure with this stoichiometry = 0.299 eV per formula unit